Compound: Ba3Cu2Sn4
Source: Alexandria
Functional: PBE-GGA
Structure: relaxed

Unit cell a=13.1196 b=4.6922 c=9.5997 alpha=90.00 beta=95.56 gamma=90.00
Space group C2/m (No. 12)
Inequivalent atoms, fractional coordinates:
Ba (0.0000, 0.0000, 0.0000) x2
Ba (0.1614, 0.5000, 0.6607) x4
Cu (0.1059, 0.5000, 0.2844) x4
Sn (0.0602, 0.0000, 0.3785) x4
Sn (0.2180, 0.5000, 0.0750) x4

## Properties
Energy relative to the elements in eV/atom: -0.48

=====

Compound: Ba2Cu2Sn
Source: Alexandria
Functional: PBE-GGA
Structure: relaxed

Unit cell a=6.3819 b=6.3819 c=7.7151 alpha=90.00 beta=90.00 gamma=90.00
Space group I4/mmm (No. 139)
Inequivalent atoms, fractional coordinates:
Ba (0.0000, 0.5000, 0.2500) x4
Cu (0.0000, 0.0000, 0.1531) x4
Sn (0.0000, 0.0000, 0.5000) x2

## Properties
Energy relative to the elements in eV/atom: -0.17

=====

Compound: Ba2CuSn
Source: Alexandria
Functional: PBE-GGA
Structure: relaxed

Unit cell a=3.9929 b=3.9929 c=8.7293 alpha=90.00 beta=90.00 gamma=90.00
Space group P4/mmm (No. 123)
Inequivalent atoms, fractional coordinates:
Ba (0.0000, 0.0000, 0.2325) x2
Cu (0.5000, 0.5000, 0.0000) x1
Sn (0.5000, 0.5000, 0.5000) x1

## Properties
Energy relative to the elements in eV/atom: -0.27

=====

Compound: Ba2Cu2Sn
Source: Alexandria
Functional: PBE-GGA
Structure: relaxed

Unit cell a=3.7490 b=3.7490 c=20.6776 alpha=90.00 beta=90.00 gamma=90.00
Space group I4/mmm (No. 139)
Inequivalent atoms, fractional coordinates:
Ba (0.0000, 0.0000, 0.1184) x4
Cu (0.0000, 0.5000, 0.2500) x4
Sn (0.0000, 0.0000, 0.5000) x2

## Properties
Energy relative to the elements in eV/atom: -0.09

=====

- Among the records above, which one has the highest energy relative to the elements?
  number 4